## MnTcRh2 (PBEsol)

Data for crystalline MnTcRh2 at its relaxed geometry.

Uncorrected energy = -36.299 eV per formula unit
E_form = 251 meV per atom
Density of states at the Fermi level = 6.2 states/eV/f.u.
Energy relative to the lowest polymorph listed for this composition = 1.28 eV per formula unit

abc: 6.0412 6.0412 6.0412
angles: 90.00 90.00 90.00
Closest atoms and distances in Å follow each position.
Space group Fm-3m (No. 225)
Inequivalent atoms, fractional coordinates:
Mn 0.0000 0.0000 0.0000  8 Rh 2.62
Tc 0.0000 0.0000 0.5000  8 Rh 2.62
Rh 0.2500 0.2500 0.2500  4 Mn 2.62, 4 Tc 2.62

## Pt2C (PBEsol)

Data for crystalline Pt2C at its relaxed geometry.

Uncorrected energy = -21.905 eV per formula unit
E_form = 555 meV per atom
Density of states at the Fermi level = 0.5 states/eV/f.u.
Energy relative to the lowest polymorph listed for this composition = 0.00 eV per formula unit

abc: 4.0689 5.6105 3.3138
angles: 90.00 90.00 90.00
Closest atoms and distances in Å follow each position.
Space group Pnnm (No. 58)
Inequivalent atoms, fractional coordinates:
Pt 0.2370 0.1727 0.0000  3 C 2.13-2.15
C 0.0000 0.0000 0.5000  6 Pt 2.13-2.15

## LaScRh4 (PBEsol)

Data for crystalline LaScRh4 at its relaxed geometry.

Uncorrected energy = -48.207 eV per formula unit
E_form = -617 meV per atom
Density of states at the Fermi level = 3.1 states/eV/f.u.

abc: 7.4289 7.4289 7.4289
angles: 90.00 90.00 90.00
Closest atoms and distances in Å follow each position.
Space group F-43m (No. 216)
Inequivalent atoms, fractional coordinates:
La 0.0000 0.0000 0.0000  12 Rh 3.08, 4 Sc 3.22
Sc 0.2500 0.2500 0.2500  12 Rh 3.08, 4 La 3.22
Rh 0.1244 0.1244 0.6244  6 Rh 2.61-2.64

## Ni2AgIr (PBEsol)

Data for crystalline Ni2AgIr at its relaxed geometry.

Uncorrected energy = -23.574 eV per formula unit
E_form = 469 meV per atom
Density of states at the Fermi level = 3.6 states/eV/f.u.
Energy relative to the lowest polymorph listed for this composition = 0.91 eV per formula unit

abc: 5.9463 5.9463 5.9463
angles: 90.00 90.00 90.00
Closest atoms and distances in Å follow each position.
Space group F-43m (No. 216)
Inequivalent atoms, fractional coordinates:
Ni 0.0000 0.0000 0.0000  4 Ni 2.57, 4 Ir 2.57
Ni 0.2500 0.2500 0.2500  4 Ni 2.57, 4 Ag 2.57
Ag 0.0000 0.0000 0.5000  4 Ni 2.57, 4 Ir 2.57
Ir 0.2500 0.2500 0.7500  4 Ni 2.57, 4 Ag 2.57

> Which value of E_form does entry 4 give?

469 meV per atom

Please write out number 1 again, unchanged.
## MnTcRh2 (PBEsol)

Data for crystalline MnTcRh2 at its relaxed geometry.

Uncorrected energy = -36.299 eV per formula unit
E_form = 251 meV per atom
Density of states at the Fermi level = 6.2 states/eV/f.u.
Energy relative to the lowest polymorph listed for this composition = 1.28 eV per formula unit

abc: 6.0412 6.0412 6.0412
angles: 90.00 90.00 90.00
Closest atoms and distances in Å follow each position.
Space group Fm-3m (No. 225)
Inequivalent atoms, fractional coordinates:
Mn 0.0000 0.0000 0.0000  8 Rh 2.62
Tc 0.0000 0.0000 0.5000  8 Rh 2.62
Rh 0.2500 0.2500 0.2500  4 Mn 2.62, 4 Tc 2.62